1.
An optimized crystal structure of Y2Cd2As, computed with PBE.

Properties
- DFT total energy: -4.325 eV/atom
- Formation energy from the elements: -0.444 eV/atom
- Space group: P4/mbm (127)

Cell: 7.5559 7.5559 4.9174 Å, 90.00 90.00 90.00°
Atoms (fractional coordinates):
As  0.5000  0.5000  0.0000
Y  0.6694  0.1694  0.0000
Cd  0.1360  0.6360  0.5000
Cd  0.8640  0.3640  0.5000
Cd  0.6360  0.8640  0.5000
As  0.0000  0.0000  0.0000
Y  0.3306  0.8306  0.0000
Y  0.1694  0.3306  0.0000
Y  0.8306  0.6694  0.0000
Cd  0.3640  0.1360  0.5000



2.
An optimized crystal structure of YCd4As, computed with PBE.

Properties
- DFT total energy: -2.481 eV/atom
- Formation energy from the elements: -0.018 eV/atom
- Space group: F-43m (216)

Cell: 5.8533 5.8533 5.8533 Å, 60.00 60.00 60.00°
Atoms (fractional coordinates):
Cd  0.3750  0.8750  0.3750
Y  0.7500  0.7500  0.7500
As  0.0000  0.0000  0.0000
Cd  0.3750  0.3750  0.3750
Cd  0.8750  0.3750  0.3750
Cd  0.3750  0.3750  0.8750



3.
An optimized crystal structure of YCd2As, computed with PBE.

Properties
- DFT total energy: -3.563 eV/atom
- Formation energy from the elements: -0.327 eV/atom
- Space group: Imm2 (44)

Cell: 5.5271 5.5271 5.5271 Å, 133.14 129.05 71.71°
Atoms (fractional coordinates):
As  0.2538  0.7538  0.5000
Cd  0.7488  0.2488  0.5000
Y  0.4876  0.4876  0.0000
Cd  0.0098  0.0098  0.0000



4.
An optimized crystal structure of YCdAs, computed with PBE.

Properties
- DFT total energy: -4.808 eV/atom
- Formation energy from the elements: -0.799 eV/atom
- Space group: Cmcm (63)

Cell: 4.2284 6.6099 13.7499 Å, 149.66 90.00 108.65°
Atoms (fractional coordinates):
Y  0.5860  0.1720  0.7499
As  0.9323  0.8647  0.7501
Y  0.4140  0.8280  0.2501
As  0.0677  0.1353  0.2499
Cd  0.2901  0.5803  0.7500
Cd  0.7099  0.4197  0.2500



5.
An optimized crystal structure of YCd2As, computed with PBE.

Properties
- DFT total energy: -3.501 eV/atom
- Formation energy from the elements: -0.265 eV/atom
- Space group: F-43m (216)

Cell: 5.1034 5.1034 5.1034 Å, 60.00 60.00 60.00°
Atoms (fractional coordinates):
Y  0.2500  0.2500  0.2500
As  0.5000  0.5000  0.5000
Cd  0.0000  0.0000  0.0000
Cd  0.7500  0.7500  0.7500



6.
An optimized crystal structure of YCd2As, computed with PBE.

Properties
- DFT total energy: -3.773 eV/atom
- Formation energy from the elements: -0.537 eV/atom
- Space group: Pm (6)

Cell: 3.9305 4.0467 6.4382 Å, 71.55 90.00 90.00°
Atoms (fractional coordinates):
Cd  0.5000  0.2080  0.2078
As  0.5000  0.9754  0.6743
Y  0.0000  0.5255  0.5747
Cd  0.0000  0.7911  0.0432



7.
An optimized crystal structure of YCdAs, computed with PBE.

Properties
- DFT total energy: -4.521 eV/atom
- Formation energy from the elements: -0.512 eV/atom
- Space group: Fmm2 (42)

Cell: 6.4479 6.2040 3.6171 Å, 77.13 69.72 33.15°
Atoms (fractional coordinates):
Y  0.6469  0.6469  0.3531
Cd  0.3492  0.3492  0.6508
As  0.0039  0.0039  0.9961



8.
An optimized crystal structure of Y3CdAs, computed with PBE.

Properties
- DFT total energy: -5.434 eV/atom
- Formation energy from the elements: -0.442 eV/atom
- Space group: Pm-3m (221)

Cell: 5.3967 5.3967 5.3967 Å, 90.00 90.00 90.00°
Atoms (fractional coordinates):
Cd  0.5000  0.5000  0.5000
As  0.0000  0.0000  0.0000
Y  0.5000  0.0000  0.0000
Y  0.0000  0.0000  0.5000
Y  0.0000  0.5000  0.0000



9.
An optimized crystal structure of YCdAs, computed with PBE.

Properties
- DFT total energy: -4.640 eV/atom
- Formation energy from the elements: -0.631 eV/atom
- Space group: P3m1 (156)

Cell: 4.1759 4.1759 5.2117 Å, 90.00 90.00 120.00°
Atoms (fractional coordinates):
Cd  0.6667  0.3333  0.2846
As  0.0000  0.0000  0.0004
Y  0.3333  0.6667  0.7150



10.
An optimized crystal structure of YCd2As, computed with PBE.

Properties
- DFT total energy: -3.775 eV/atom
- Formation energy from the elements: -0.539 eV/atom
- Space group: P4/mmm (123)

Cell: 4.1904 4.1873 5.2366 Å, 90.00 90.00 90.00°
Atoms (fractional coordinates):
Y  0.5000  0.0000  0.5000
Cd  0.5000  0.5000  0.0000
Cd  0.0000  0.0000  0.0000
As  0.0000  0.5000  0.5000



11.
An optimized crystal structure of YCd2As, computed with PBE.

Properties
- DFT total energy: -3.676 eV/atom
- Formation energy from the elements: -0.441 eV/atom
- Space group: P4mm (99)

Cell: 3.9189 3.9189 6.4628 Å, 90.00 90.00 90.00°
Atoms (fractional coordinates):
Cd  0.5000  0.5000  0.2223
Y  0.0000  0.0000  0.5490
Cd  0.0000  0.0000  0.0458
As  0.5000  0.5000  0.6828



12.
An optimized crystal structure of Y4CdAs, computed with PBE.

Properties
- DFT total energy: -4.947 eV/atom
- Formation energy from the elements: 0.290 eV/atom
- Space group: F-43m (216)

Cell: 6.2758 6.2758 6.2758 Å, 60.00 60.00 60.00°
Atoms (fractional coordinates):
Y  0.8750  0.3750  0.3750
Y  0.3750  0.8750  0.3750
Y  0.3750  0.3750  0.8750
Y  0.3750  0.3750  0.3750
As  0.7500  0.7500  0.7500
Cd  0.0000  0.0000  0.0000



13.
An optimized crystal structure of YCd2As, computed with PBE.

Properties
- DFT total energy: -3.628 eV/atom
- Formation energy from the elements: -0.392 eV/atom
- Space group: I-42d (122)

Cell: 8.4342 8.4342 6.5956 Å, 50.25 50.25 90.00°
Atoms (fractional coordinates):
Y  0.7500  0.2500  0.5000
Cd  0.8750  0.8300  0.7500
Cd  0.5800  0.1250  0.2500
As  0.2500  0.7500  0.5000
As  0.5000  0.5000  0.0000
Y  0.0000  0.0000  0.0000
Cd  0.3750  0.4200  0.7500
Cd  0.1700  0.6250  0.2500



14.
An optimized crystal structure of YCdAs, computed with PBE.

Properties
- DFT total energy: -4.553 eV/atom
- Formation energy from the elements: -0.543 eV/atom
- Space group: I4mm (107)

Cell: 6.9218 6.9218 6.9218 Å, 146.54 146.54 48.05°
Atoms (fractional coordinates):
Cd  0.3252  0.3252  0.0000
Y  0.5710  0.5710  0.0000
As  0.1038  0.1038  0.0000



15.
An optimized crystal structure of YCdAs4, computed with PBE.

Properties
- DFT total energy: -4.433 eV/atom
- Formation energy from the elements: -0.104 eV/atom
- Space group: F-43m (216)

Cell: 5.6833 5.6833 5.6833 Å, 60.00 60.00 60.00°
Atoms (fractional coordinates):
As  0.3767  0.3767  0.3767
Cd  0.7500  0.7500  0.7500
As  0.3767  0.8699  0.3767
Y  0.0000  0.0000  0.0000
As  0.8699  0.3767  0.3767
As  0.3767  0.3767  0.8699



16.
An optimized crystal structure of Y2Cd2As, computed with PBE.

Properties
- DFT total energy: -4.234 eV/atom
- Formation energy from the elements: -0.353 eV/atom
- Space group: P4/mbm (127)

Cell: 7.4389 7.4389 4.6063 Å, 90.00 90.00 90.00°
Atoms (fractional coordinates):
As  0.0000  0.0000  0.0000
Y  0.8328  0.3328  0.5000
Cd  0.3671  0.8671  0.0000
Y  0.1672  0.6672  0.5000
As  0.5000  0.5000  0.0000
Cd  0.1329  0.3671  0.0000
Y  0.3328  0.1672  0.5000
Y  0.6672  0.8328  0.5000
Cd  0.8671  0.6329  0.0000
Cd  0.6329  0.1329  0.0000



17.
An optimized crystal structure of YCdAs, computed with PBE.

Properties
- DFT total energy: -4.433 eV/atom
- Formation energy from the elements: -0.424 eV/atom
- Space group: F-43m (216)

Cell: 4.9124 4.9124 4.9124 Å, 60.00 60.00 60.00°
Atoms (fractional coordinates):
As  0.0000  0.0000  0.0000
Cd  0.5000  0.5000  0.5000
Y  0.7500  0.7500  0.7500



18.
An optimized crystal structure of YCd2As, computed with PBE.

Properties
- DFT total energy: -3.202 eV/atom
- Formation energy from the elements: 0.034 eV/atom
- Space group: R-3m (166)

Cell: 10.2928 10.2928 10.2928 Å, 18.65 18.65 18.65°
Atoms (fractional coordinates):
Cd  0.0051  0.0051  0.0051
Y  0.2500  0.2500  0.2500
As  0.7500  0.7500  0.7500
Cd  0.4949  0.4949  0.4949



19.
An optimized crystal structure of YCdAs, computed with PBE.

Properties
- DFT total energy: -4.157 eV/atom
- Formation energy from the elements: -0.148 eV/atom
- Space group: F-43m (216)

Cell: 4.8329 4.8329 4.8329 Å, 60.00 60.00 60.00°
Atoms (fractional coordinates):
Y  0.0000  0.0000  0.0000
Cd  0.7500  0.7500  0.7500
As  0.5000  0.5000  0.5000



20.
An optimized crystal structure of YZr2CdAs, computed with PBE.

Properties
- DFT total energy: -6.003 eV/atom
- Formation energy from the elements: -0.178 eV/atom
- Space group: P4/mmm (123)

Cell: 5.0582 5.2985 5.0582 Å, 90.00 90.00 90.00°
Atoms (fractional coordinates):
Zr  0.0000  0.0000  0.5000
Cd  0.5000  0.5000  0.5000
Y  0.0000  0.5000  0.0000
As  0.0000  0.0000  0.0000
Zr  0.5000  0.0000  0.0000



no.,N(E_F) (states/eV per atom)
1,0.917
2,0.580
3,0.722
4,0.107
5,1.144
6,0.327
7,0.374
8,1.353
9,0.040
10,0.420
11,0.378
12,1.371
13,0.057
14,0.134
15,0.634
16,0.919
17,0.212
18,0.711
19,0.775
20,0.633